Density functional theory data (PBE-GGA) for KYCdO3 after structural relaxation.

Cell lengths 7.4478, 3.4621, 9.6605 Å; angles 90.00, 93.76, 90.00 degrees
Last column: nearest neighbours and their distance in Å.
Fractional positions:
1 K 0.1468 0.2500 0.2213  4 O 2.70-2.90
2 K 0.8532 0.7500 0.7787  4 O 2.70-2.90
3 Y 0.3839 0.7500 0.8739  5 O 2.16-2.34
4 Y 0.6161 0.2500 0.1261  5 O 2.16-2.34
5 Cd 0.1560 0.2500 0.5738  4 O 2.19-2.39
6 Cd 0.8440 0.7500 0.4262  4 O 2.19-2.39
7 O 0.1652 0.7500 0.4357  3 Cd 2.19-2.39
8 O 0.2103 0.2500 0.8026  1 Cd 2.22, 2 Y 2.24
9 O 0.4054 0.7500 0.0980  3 Y 2.16-2.34
10 O 0.5946 0.2500 0.9020  3 Y 2.16-2.34
11 O 0.7897 0.7500 0.1974  1 Cd 2.22, 2 Y 2.24
12 O 0.8348 0.2500 0.5643  3 Cd 2.19-2.39

Computed properties:
The calculation puts the volume at 20.71 Å³/atom. The uncorrected formation energy is -2.020 eV per atom.

Density functional theory data (PBE-GGA) for K3ZrCd2O6 after structural relaxation.

Cell lengths 5.9215, 5.9215, 6.4992 Å; angles 98.53, 98.53, 120.23 degrees
Last column: nearest neighbours and their distance in Å.
Fractional positions:
1 K 0.0000 0.0000 0.0000  6 O 2.69-2.85
2 K 0.3264 0.6736 0.0000  6 O 2.70-2.83
3 K 0.6736 0.3264 0.0000  6 O 2.70-2.83
4 Zr 0.5000 0.5000 0.5000  6 O 2.16
5 Cd 0.1659 0.8341 0.5000  6 O 2.36-2.39
6 Cd 0.8341 0.1659 0.5000  6 O 2.36-2.39
7 O 0.1301 0.4345 0.3088  1 Zr 2.16, 2 Cd 2.36-2.39
8 O 0.2617 0.2617 0.6953  1 Zr 2.16, 2 Cd 2.39
9 O 0.4345 0.1301 0.3088  1 Zr 2.16, 2 Cd 2.36-2.39
10 O 0.5655 0.8699 0.6912  1 Zr 2.16, 2 Cd 2.36-2.39
11 O 0.7383 0.7383 0.3047  1 Zr 2.16, 2 Cd 2.39
12 O 0.8699 0.5655 0.6912  1 Zr 2.16, 2 Cd 2.36-2.39

Computed properties:
The calculation puts the volume at 15.66 Å³/atom. The calculation puts the density of states at the Fermi level at 8.17 states/eV/f.u. The uncorrected formation energy is -1.679 eV per atom.

Density functional theory data (PBE-GGA) for K2ZrCdO4 after structural relaxation.

Cell lengths 6.0143, 3.3427, 6.5516 Å; angles 90.00, 109.21, 90.00 degrees
Last column: nearest neighbours and their distance in Å.
Fractional positions:
1 K 0.0000 0.0000 0.0000  6 O 2.65-2.70
2 K 0.5000 0.5000 0.0000  6 O 2.79-3.00
3 Zr 0.0000 0.5000 0.5000  6 O 2.14-2.19
4 Cd 0.5000 0.0000 0.5000  6 O 2.33-2.54
5 O 0.1961 0.0000 0.6922  2 Zr 2.19
6 O 0.2399 0.5000 0.3198  1 Zr 2.14, 2 Cd 2.33
7 O 0.7601 0.5000 0.6802  1 Zr 2.14, 2 Cd 2.33
8 O 0.8039 0.0000 0.3078  2 Zr 2.19

Computed properties:
The calculation puts the volume at 15.55 Å³/atom. The calculation puts the density of states at the Fermi level at 0.00 states/eV/f.u. The uncorrected formation energy is -2.053 eV per atom.

Density functional theory data (PBE-GGA) for KCd2Os after structural relaxation.

Cell lengths 8.4848, 8.4848, 4.7977 Å; angles 106.42, 106.42, 19.17 degrees
Last column: nearest neighbours and their distance in Å.
Fractional positions:
1 K 0.0000 0.0000 0.0000  2 K 2.83
2 Cd 0.1817 0.1817 0.6810  4 Os 2.79, 2 Cd 2.83
3 Cd 0.3418 0.3418 0.3429  2 Os 2.79, 2 Cd 2.83
4 Os 0.6918 0.6918 0.1911  6 Cd 2.79, 2 Os 2.83

Computed properties:
The value obtained for the formation enthalpy at 0 K is 0.54 eV/atom. The calculation puts the volume at 27.16 Å³/atom. The calculation puts the density of states at the Fermi level at 0.64 states/eV/f.u.

Density functional theory data (PBE-GGA) for KCd2Os after structural relaxation.

Cell lengths 9.8129, 9.8129, 9.8129 Å; angles 146.96, 146.96, 47.43 degrees
Last column: nearest neighbours and their distance in Å.
Fractional positions:
1 K 0.0000 0.0000 0.0000  4 Cd 3.60, 4 Os 3.95
2 K 0.7500 0.2500 0.5000  4 Cd 3.60, 4 Os 3.95
3 Cd 0.3137 0.6250 0.1887  2 Os 2.67, 2 Cd 2.87
4 Cd 0.3750 0.5637 0.6887  2 Os 2.67, 2 Cd 2.87
5 Cd 0.4363 0.1250 0.8113  2 Os 2.67, 2 Cd 2.87
6 Cd 0.8750 0.6863 0.3113  2 Os 2.67, 2 Cd 2.87
7 Os 0.2500 0.7500 0.5000  4 Cd 2.67
8 Os 0.5000 0.5000 0.0000  4 Cd 2.67

Computed properties:
The value obtained for the formation enthalpy at 0 K is 0.95 eV/atom. The calculation puts the volume at 34.98 Å³/atom. The calculation puts the density of states at the Fermi level at 1.72 states/eV/f.u.

Density functional theory data (PBE-GGA) for K2CdOs after structural relaxation.

Cell lengths 11.9598, 11.9598, 11.9598 Å; angles 160.08, 160.08, 28.31 degrees
Last column: nearest neighbours and their distance in Å.
Fractional positions:
1 K 0.1216 0.6250 0.9966  4 K 2.90-2.94, 2 Os 3.24, 2 Cd 3.25
2 K 0.3750 0.3716 0.4966  4 K 2.90-2.94, 2 Os 3.24, 2 Cd 3.25
3 K 0.6284 0.1250 0.0034  4 K 2.90-2.94, 2 Os 3.24, 2 Cd 3.25
4 K 0.8750 0.8784 0.5034  4 K 2.90-2.94, 2 Os 3.24, 2 Cd 3.25
5 Cd 0.2500 0.7500 0.5000  4 Os 2.92, 4 K 3.25
6 Cd 0.5000 0.5000 0.0000  4 Os 2.92, 4 K 3.25
7 Os 0.0000 0.0000 0.0000  4 Cd 2.92, 4 K 3.24
8 Os 0.7500 0.2500 0.5000  4 Cd 2.92, 4 K 3.24

Computed properties:
The value obtained for the formation enthalpy at 0 K is 1.23 eV/atom. The calculation puts the volume at 24.80 Å³/atom. The calculation puts the density of states at the Fermi level at 0.61 states/eV/f.u.